# SrSn2Se2 (PBE, relaxed)
data_SrSn2Se2
_chemical_formula_sum 'Sr2 Sn4 Se4'
_cell_length_a 4.1930
_cell_length_b 4.1930
_cell_length_c 16.5572
_cell_angle_alpha 90.00
_cell_angle_beta 90.00
_cell_angle_gamma 90.00
_symmetry_space_group_name_H-M 'I 4/m m m'
_symmetry_Int_Tables_number 139
_symmetry_space_group_name_Hall '-I 4 2'
loop_
_atom_site_label
_atom_site_type_symbol
_atom_site_fract_x
_atom_site_fract_y
_atom_site_fract_z
_atom_site_occupancy
Sr1 Sr 0.0000 0.0000 0.0000 1
Sn1 Sn 0.0000 0.5000 0.2500 1
Se1 Se 0.0000 0.0000 0.4081 1
# spin magnetization = 0.00 μB/atom
# VASP energy = -4.01 eV/atom
# calculated volume = 291.1 Å³/cell
# offset from the most stable computed form = 0 kJ/mol of formula units
# E_form (uncorrected) = -681 meV per atom